1) Density functional theory data (PBE-GGA) for a geometry-optimized TaFeCuSi structure.

Values from the calculation:
Total magnetic moment: 0.7 μB/cell

Cell: 4.2163 4.2163 4.2163 Å, 60.00 60.00 60.00°
Positions (direct):
1 Si 0.0000 0.0000 0.0000
2 Cu 0.7500 0.7500 0.7500
3 Fe 0.5000 0.5000 0.5000
4 Ta 0.2500 0.2500 0.2500

***

2) Density functional theory data (PBE-GGA) for a geometry-optimized TaFeCuSi structure.

Values from the calculation:
Total magnetic moment: 0.0 μB/cell

Cell: 4.1776 4.1776 4.1776 Å, 60.00 60.00 60.00°
Positions (direct):
1 Cu 0.7500 0.7500 0.7500
2 Fe 0.2500 0.2500 0.2500
3 Ta 0.5000 0.5000 0.5000
4 Si 0.0000 0.0000 0.0000

***

3) Density functional theory data (PBE-GGA) for a geometry-optimized TaFeCuSi structure.

Values from the calculation:
Total magnetic moment: 1.8 μB/cell

Cell: 4.2314 4.2314 4.2314 Å, 60.00 60.00 60.00°
Positions (direct):
1 Ta 0.2500 0.2500 0.2500
2 Si 0.0000 0.0000 0.0000
3 Cu 0.5000 0.5000 0.5000
4 Fe 0.7500 0.7500 0.7500

***

Pick 2): it beats the second-best structure by 14.2 kJ/mol of atoms.